# 1
Density functional theory data (PBE) for an optimized crystal structure of CdAu.

a = 8.4372 Å, b = 3.1684 Å, c = 5.1849 Å
α = 90.00°, β = 116.75°, γ = 90.00°
Fractional coordinates of all 6 atoms:
Au1 0.0000 0.0000 0.0000
Au2 0.1841 0.0000 0.6778
Au3 0.8159 0.0000 0.3222
Cd1 0.6965 0.5000 0.6617
Cd2 0.5000 0.5000 0.0000
Cd3 0.3035 0.5000 0.3383

Values from the calculation:
Crystal system = monoclinic
Energy relative to the elements = -42 meV/atom
Symmetry = No. 10
Calculated total energy = -2.1231 eV/atom

=====

# 2
Density functional theory data (PBE) for an optimized crystal structure of BaNaErS3.

a = 7.2010 Å, b = 7.2010 Å, c = 10.3793 Å
α = 90.00°, β = 90.00°, γ = 145.83°
Fractional coordinates of all 12 atoms:
Er1 0.5000 0.5000 0.5000
Er2 0.5000 0.5000 0.0000
Na1 0.9724 0.0276 0.2500
Na2 0.0276 0.9724 0.7500
Ba1 0.7559 0.2441 0.7500
Ba2 0.2441 0.7559 0.2500
S1 0.8693 0.1307 0.0439
S2 0.5753 0.4247 0.2500
S3 0.1307 0.8693 0.9561
S4 0.8693 0.1307 0.4561
S5 0.4247 0.5753 0.7500
S6 0.1307 0.8693 0.5439

Values from the calculation:
Magnetization = 0.02 Bohr magnetons per cell
Crystal system = orthorhombic
Symmetry = No. 63
Calculated total energy = -5.1211 eV/atom

=====

# 3
Density functional theory data (PBE) for an optimized crystal structure of ZnP2H6O5.

a = 7.6094 Å, b = 7.2530 Å, c = 10.4143 Å
α = 90.00°, β = 104.30°, γ = 90.00°
Fractional coordinates of all 56 atoms:
O1 0.6704 0.4117 0.2297
O2 0.2844 0.6652 0.4885
O3 0.4085 0.2839 0.5991
O4 0.3296 0.9117 0.2703
O5 0.9533 0.7890 0.7977
O6 0.2844 0.8348 0.9885
O7 0.0467 0.2110 0.2023
O8 0.0467 0.2890 0.7023
O9 0.5915 0.7839 0.9009
O10 0.9702 0.6472 0.5736
O11 0.0298 0.3528 0.4264
O12 0.0298 0.1472 0.9264
O13 0.7156 0.3348 0.5115
O14 0.9702 0.8528 0.0736
O15 0.4085 0.2161 0.0991
O16 0.3296 0.5883 0.7703
O17 0.6704 0.0883 0.7297
O18 0.9533 0.7110 0.2977
O19 0.5915 0.7161 0.4009
O20 0.7156 0.1652 0.0115
P1 0.5339 0.8875 0.3141
P2 0.9690 0.8217 0.6561
P3 0.5339 0.6125 0.8141
P4 0.0310 0.3217 0.8439
P5 0.9690 0.6783 0.1561
P6 0.0310 0.1783 0.3439
P7 0.4661 0.3875 0.1859
P8 0.4661 0.1125 0.6859
Zn1 0.8053 0.9591 0.8997
Zn2 0.1947 0.0409 0.1003
Zn3 0.1947 0.4591 0.6003
Zn4 0.8053 0.5409 0.3997
H1 0.6132 0.4548 0.8862
H2 0.6122 0.6203 0.7040
H3 0.1292 0.9215 0.6590
H4 0.1811 0.8010 0.9140
H5 0.8189 0.3010 0.5860
H6 0.1292 0.5785 0.1590
H7 0.8274 0.5642 0.0865
H8 0.6045 0.3354 0.5447
H9 0.1726 0.4358 0.9135
H10 0.8189 0.1990 0.0860
H11 0.3878 0.1203 0.7960
H12 0.6122 0.8797 0.2040
H13 0.3868 0.9548 0.6138
H14 0.1726 0.0642 0.4135
H15 0.8274 0.9358 0.5865
H16 0.3878 0.3797 0.2960
H17 0.3955 0.6646 0.4553
H18 0.1811 0.6990 0.4140
H19 0.6132 0.0452 0.3862
H20 0.8708 0.0785 0.3410
H21 0.3868 0.5453 0.1138
H22 0.8708 0.4215 0.8410
H23 0.6045 0.1646 0.0447
H24 0.3955 0.8354 0.9553

Values from the calculation:
Crystal system = monoclinic
Symmetry = No. 14
Calculated total energy = -5.1542 eV/atom

=====

# 4
Density functional theory data (PBE) for an optimized crystal structure of HoErPb.

a = 5.1312 Å, b = 5.1312 Å, c = 5.1312 Å
α = 60.00°, β = 60.00°, γ = 60.00°
Fractional coordinates of all 3 atoms:
Pb1 0.0000 0.0000 0.0000
Ho1 0.7500 0.7500 0.7500
Er1 0.2500 0.2500 0.2500

Values from the calculation:
Magnetization = 0.03 Bohr magnetons per cell
Distance to the lowest polymorph of the same formula = 0 meV per atom
Crystal system = cubic
Symmetry = No. 216
Calculated total energy = -4.4449 eV/atom

=====

# 5
Density functional theory data (PBE) for an optimized crystal structure of Nb2CuBi.

a = 4.7497 Å, b = 4.7497 Å, c = 4.7497 Å
α = 60.00°, β = 60.00°, γ = 60.00°
Fractional coordinates of all 4 atoms:
Nb1 0.0000 0.0000 0.0000
Nb2 0.7500 0.7500 0.7500
Bi1 0.5000 0.5000 0.5000
Cu1 0.2500 0.2500 0.2500

Values from the calculation:
Magnetization = 0.01 Bohr magnetons per cell
Crystal system = cubic
Symmetry = No. 216
Calculated total energy = -6.4746 eV/atom

=====

# 6
Density functional theory data (PBE) for an optimized crystal structure of Nd3S2NO.

a = 8.0506 Å, b = 8.0506 Å, c = 9.8458 Å
α = 98.35°, β = 98.35°, γ = 28.64°
Fractional coordinates of all 14 atoms:
Nd1 0.7996 0.7996 0.3301
Nd2 0.6137 0.6137 0.9489
Nd3 0.2004 0.2004 0.6699
Nd4 0.9511 0.9511 0.7312
Nd5 0.0489 0.0489 0.2688
Nd6 0.3863 0.3863 0.0511
S1 0.2127 0.2127 0.1546
S2 0.7873 0.7873 0.8454
S3 0.3684 0.3684 0.5248
S4 0.6316 0.6316 0.4752
N1 0.9011 0.9011 0.1910
N2 0.0989 0.0989 0.8090
O1 0.4625 0.4625 0.8578
O2 0.5375 0.5375 0.1422

Values from the calculation:
Magnetization = 0.00 Bohr magnetons per cell
Crystal system = monoclinic
Symmetry = No. 12
Calculated total energy = -7.3849 eV/atom

=====

# 7
Density functional theory data (PBE) for an optimized crystal structure of ScBeCuGe.

a = 4.3427 Å, b = 4.3427 Å, c = 4.3427 Å
α = 60.00°, β = 60.00°, γ = 60.00°
Fractional coordinates of all 4 atoms:
Ge1 0.0000 0.0000 0.0000
Cu1 0.7500 0.7500 0.7500
Be1 0.5000 0.5000 0.5000
Sc1 0.2500 0.2500 0.2500

Values from the calculation:
Magnetization = 0.00 Bohr magnetons per cell
Distance to the lowest polymorph of the same formula = 28 meV per atom
Crystal system = cubic
Symmetry = No. 216
Calculated total energy = -4.6817 eV/atom

=====

# 8
Density functional theory data (PBE) for an optimized crystal structure of AgI.

a = 4.9497 Å, b = 4.9497 Å, c = 4.9420 Å
α = 90.00°, β = 90.00°, γ = 96.21°
Fractional coordinates of all 4 atoms:
I1 0.2963 0.7037 0.7500
I2 0.7037 0.2963 0.2500
Ag1 0.8991 0.1009 0.7500
Ag2 0.1009 0.8991 0.2500

Values from the calculation:
Crystal system = orthorhombic
Symmetry = No. 63
Calculated total energy = -2.3796 eV/atom

=====

# 9
Density functional theory data (PBE) for an optimized crystal structure of BaInHg2Pb.

a = 7.3437 Å, b = 7.3437 Å, c = 7.3437 Å
α = 141.20°, β = 141.20°, γ = 56.03°
Fractional coordinates of all 5 atoms:
Ba1 0.0000 0.0000 0.0000
Pb1 0.7500 0.2500 0.5000
In1 0.2500 0.7500 0.5000
Hg1 0.3910 0.3910 0.0000
Hg2 0.6090 0.6090 0.0000

Values from the calculation:
Distance to the lowest polymorph of the same formula = 11 meV per atom
Crystal system = tetragonal
Symmetry = No. 119
Calculated total energy = -2.1486 eV/atom

=====

# 10
Density functional theory data (PBE) for an optimized crystal structure of Tl2Ag2Pd.

a = 9.6129 Å, b = 7.4903 Å, c = 7.2691 Å
α = 81.27°, β = 50.37°, γ = 48.37°
Fractional coordinates of all 10 atoms:
Tl1 0.6250 0.1250 0.6250
Tl2 0.6250 0.6250 0.1250
Tl3 0.1250 0.6250 0.6250
Tl4 0.6250 0.6250 0.6250
Ag1 0.9020 0.9020 0.0980
Ag2 0.1520 0.1520 0.3480
Ag3 0.3480 0.3480 0.1520
Ag4 0.0980 0.0980 0.9020
Pd1 0.7500 0.7500 0.7500
Pd2 0.5000 0.5000 0.5000

Values from the calculation:
Crystal system = orthorhombic
Symmetry = No. 70
Calculated total energy = -2.7221 eV/atom

=====

# 11
Density functional theory data (PBE) for an optimized crystal structure of LaMgIr.

a = 7.5408 Å, b = 4.2254 Å, c = 16.9987 Å
α = 90.00°, β = 90.00°, γ = 90.00°
Fractional coordinates of all 24 atoms:
Mg1 0.0029 0.2500 0.5630
Mg2 0.8667 0.2500 0.8504
Mg3 0.3667 0.2500 0.6496
Mg4 0.4971 0.7500 0.0630
Mg5 0.9971 0.7500 0.4370
Mg6 0.5029 0.2500 0.9370
Mg7 0.6333 0.7500 0.3504
Mg8 0.1333 0.7500 0.1496
La1 0.1616 0.7500 0.9383
La2 0.5430 0.7500 0.7828
La3 0.4570 0.2500 0.2172
La4 0.8384 0.2500 0.0617
La5 0.3384 0.2500 0.4383
La6 0.9570 0.2500 0.2828
La7 0.6616 0.7500 0.5617
La8 0.0430 0.7500 0.7172
Ir1 0.2453 0.2500 0.8119
Ir2 0.7547 0.7500 0.1881
Ir3 0.7443 0.7500 0.9378
Ir4 0.7453 0.2500 0.6881
Ir5 0.7557 0.2500 0.4378
Ir6 0.2443 0.7500 0.5622
Ir7 0.2547 0.7500 0.3119
Ir8 0.2557 0.2500 0.0622

Values from the calculation:
Magnetization = 0.00 Bohr magnetons per cell
Crystal system = orthorhombic
Symmetry = No. 62
Calculated total energy = -5.7470 eV/atom

=====

# 12
Density functional theory data (PBE) for an optimized crystal structure of LuPaSb.

a = 4.9723 Å, b = 4.9723 Å, c = 4.9723 Å
α = 60.00°, β = 60.00°, γ = 60.00°
Site moments in Bohr magnetons follow the coordinates.
Fractional coordinates of all 3 atoms:
Sb1 0.7500 0.7500 0.7500  -0.01
Pa1 0.2500 0.2500 0.2500  0.58
Lu1 0.0000 0.0000 0.0000  0.24

Values from the calculation:
Magnetization = 0.94 Bohr magnetons per cell
Distance to the lowest polymorph of the same formula = 0 meV per atom
Crystal system = cubic
Symmetry = No. 216
Calculated total energy = -5.5616 eV/atom